(1)
Here is a relaxed structure of NaInSn from Alexandria. Energies are from GGA-PBE.

Cell: 3.253 5.386 9.160 Å, 90.00 90.19 90.00°
Space group P2_1/m (No. 11)
Unique sites:
Na 0.000 0.250 0.247 (multiplicity 2)
In 0.499 0.250 0.580 (multiplicity 2)
Sn 0.496 0.750 0.084 (multiplicity 2)

Values from the calculation:
Theoretical density = 5.31 g cm⁻³
Energy relative to the elements = -0.41 eV per formula unit
DOS(E_F) = 1.36 states/eV/f.u.
Total energy = -2.824 eV per atom

***

(2)
Here is a relaxed structure of PrNd3Cu from Alexandria. Energies are from GGA-PBE.

Cell: 5.579 5.579 5.579 Å, 90.00 90.00 90.00°
Space group Pm-3m (No. 221)
Unique sites:
Pr 0.000 0.000 0.000 (multiplicity 1)
Nd 0.000 0.500 0.500 (multiplicity 3)
Cu 0.500 0.500 0.500 (multiplicity 1)

Values from the calculation:
Theoretical density = 6.09 g cm⁻³
Energy relative to the elements = 0.65 eV per formula unit
DOS(E_F) = 6.77 states/eV/f.u.
Total energy = -4.506 eV per atom

***

(3)
Here is a relaxed structure of CaRe2Rh from Alexandria. Energies are from GGA-PBE.

Cell: 3.783 3.783 9.460 Å, 90.00 90.00 90.00°
Space group I4/mmm (No. 139)
Unique sites:
Ca 0.000 0.000 0.000 (multiplicity 2)
Re 0.000 0.500 0.250 (multiplicity 4)
Rh 0.000 0.000 0.500 (multiplicity 2)

Values from the calculation:
Theoretical density = 12.65 g cm⁻³
Energy relative to the lowest polymorph listed for this composition = 288 meV/atom
Energy relative to the elements = 2.06 eV per formula unit
DOS(E_F) = 3.15 states/eV/f.u.
Total energy = -8.048 eV per atom

***

(4)
Here is a relaxed structure of Pa2TaO8F from Alexandria. Energies are from GGA-PBE.

Cell: 6.451 6.866 7.519 Å, 90.00 90.45 90.00°
Space group C2/m (No. 12)
Unique sites:
Pa 0.002 0.000 0.249 (multiplicity 4)
Ta 0.000 0.500 0.500 (multiplicity 2)
O 0.004 0.296 0.691 (multiplicity 8)
O 0.196 0.000 0.502 (multiplicity 4)
O 0.202 0.000 0.999 (multiplicity 4)
F 0.000 0.500 0.000 (multiplicity 2)

Values from the calculation:
Raw formation energy = -3131 kJ/mol of formula units
Theoretical density = 7.88 g cm⁻³
DOS(E_F) = 0.04 states/eV/f.u.
Total energy = -8.736 eV per atom

***

(5)
Here is a relaxed structure of PuTaTi2 from Alexandria. Energies are from GGA-PBE.

Cell: 3.335 3.335 6.880 Å, 90.00 90.00 90.00°
Space group P4/mmm (No. 123)
Unique sites:
Pu 0.000 0.000 0.000 (multiplicity 1)
Ta 0.000 0.000 0.500 (multiplicity 1)
Ti 0.500 0.500 0.280 (multiplicity 2)

Values from the calculation:
Theoretical density = 11.30 g cm⁻³
Energy relative to the lowest polymorph listed for this composition = 0 meV/atom
Energy relative to the elements = 0.57 eV per formula unit
DOS(E_F) = 7.38 states/eV/f.u.
Total energy = -10.352 eV per atom

***

(6)
Here is a relaxed structure of Re2NiTe from Alexandria. Energies are from GGA-PBE.

Cell: 3.833 3.833 18.840 Å, 90.00 90.00 90.00°
Space group I-42d (No. 122)
Unique sites:
Re 0.192 0.250 0.125 (multiplicity 8)
Ni 0.000 0.000 0.000 (multiplicity 4)
Te 0.000 0.000 0.500 (multiplicity 4)

Values from the calculation:
Raw formation energy = 249 kJ/mol of formula units
Theoretical density = 13.41 g cm⁻³
DOS(E_F) = 3.83 states/eV/f.u.
Total energy = -7.809 eV per atom

***

(7)
Here is a relaxed structure of NbPdS from Alexandria. Energies are from GGA-PBE.

Cell: 3.1169 3.1169 6.2543 Å, 90.00 90.00 120.00°
Space group P3m1 (No. 156)
Unique sites:
Nb 0.0000 0.0000 0.0000 (multiplicity 1)
Pd 0.6667 0.3333 0.3393 (multiplicity 1)
S 0.6667 0.3333 0.7366 (multiplicity 1)

Values from the calculation:
Raw formation energy = -156 kJ/mol of formula units
Theoretical density = 7.30 g cm⁻³
Energy relative to the lowest polymorph listed for this composition = 26 meV/atom
DOS(E_F) = 2.79 states/eV/f.u.
Total energy = -7.001 eV per atom

***

(8)
Here is a relaxed structure of LiAs5 from Alexandria. Energies are from GGA-PBE.

Cell: 14.581 3.781 6.109 Å, 90.00 113.37 90.00°
Space group Cm (No. 8)
Unique sites:
Li 0.000 0.000 0.000 (multiplicity 2)
As 0.091 0.500 0.469 (multiplicity 2)
As 0.096 0.500 0.870 (multiplicity 2)
As 0.206 0.000 0.468 (multiplicity 2)
As 0.276 0.500 0.091 (multiplicity 2)
As 0.328 0.000 0.890 (multiplicity 2)

Values from the calculation:
Theoretical density = 4.10 g cm⁻³
Energy relative to the lowest polymorph listed for this composition = 0 meV/atom
Energy relative to the elements = -0.59 eV per formula unit
DOS(E_F) = 1.40 states/eV/f.u.
Total energy = -4.292 eV per atom